1.
First-principles (PBE-GGA) data for a relaxed structure of AlGePd4, as listed in Alexandria.

Cell and atoms, written as POSCAR:
```
AlGePd4
1.0
6.7290 0.0000 0.0000
0.0000 3.6815 0.0000
0.0000 0.0000 14.8681
Al Ge Pd
4 4 16
Cartesian
1.6208 0.9204 0.8374
1.7437 2.7611 8.2715
4.9853 0.9204 6.5967
5.1082 2.7611 14.0307
1.6528 2.7611 4.6016
1.7117 0.9204 12.0357
5.0173 2.7611 2.8325
5.0762 0.9204 10.2665
0.0102 2.7611 6.3781
0.5159 2.7611 10.6608
0.7367 2.7611 2.2911
0.9906 2.7611 13.9742
2.3739 0.9204 6.5401
2.6278 0.9204 9.7251
2.8486 0.9204 3.2267
3.3543 0.9204 13.8121
3.3747 2.7611 1.0560
3.8804 2.7611 11.6414
4.1012 2.7611 5.1430
4.3551 2.7611 8.3280
5.7384 0.9204 0.8939
5.9923 0.9204 12.5771
6.2131 0.9204 4.2074
6.7189 0.9204 8.4901
```

Density of states at the Fermi level   7.96 states/eV/cell
Formation energy from the elements   -0.65 eV per atom
Total magnetization   0.00 μB per formula unit
Raw total energy   -132.03 eV for the cell shown

2.
First-principles (PBE-GGA) data for a relaxed structure of In3PN, as listed in Alexandria.

Cell and atoms, written as POSCAR:
```
In3PN
1.0
4.7140 0.0000 0.0000
0.0000 4.7140 0.0000
0.0000 0.0000 4.7140
In P N
3 1 1
Cartesian
0.0000 0.0000 2.3570
0.0000 2.3570 0.0000
2.3570 0.0000 0.0000
2.3570 2.3570 2.3570
0.0000 0.0000 0.0000
```

Density of states at the Fermi level   3.35 states/eV/cell
Total magnetization   0.00 μB per formula unit
Raw total energy   -19.24 eV for the cell shown

3.
First-principles (PBE-GGA) data for a relaxed structure of MoI, as listed in Alexandria.

Cell and atoms, written as POSCAR:
```
MoI
1.0
3.3994 0.0000 0.0000
-1.6997 2.9439 0.0000
0.0000 0.0000 9.0090
Mo I
2 2
Cartesian
0.0000 1.9626 0.0000
1.6997 0.9813 4.5045
0.0000 1.9626 2.6885
1.6997 0.9813 7.1930
```

Density of states at the Fermi level   4.18 states/eV/cell
Total magnetization   0.00 μB per formula unit
Raw total energy   -20.65 eV for the cell shown

4.
First-principles (PBE-GGA) data for a relaxed structure of SrLaZn3, as listed in Alexandria.

Cell and atoms, written as POSCAR:
```
SrLaZn3
1.0
2.0074 -14.0478 0.0000
2.0074 14.0478 0.0000
0.0000 0.0000 4.6178
Sr La Zn
2 2 6
Cartesian
2.0074 12.0308 3.4633
2.0074 -12.0308 1.1544
2.0074 8.2168 1.1544
2.0074 -8.2168 3.4633
2.0074 4.8132 1.1544
2.0074 3.3490 3.4633
2.0074 0.6718 3.4633
2.0074 -0.6718 1.1544
2.0074 -3.3490 1.1544
2.0074 -4.8132 3.4633
```

Density of states at the Fermi level   9.08 states/eV/cell
Formation energy from the elements   -0.25 eV per atom
Total magnetization   0.00 μB per formula unit
Raw total energy   -23.33 eV for the cell shown

5.
First-principles (PBE-GGA) data for a relaxed structure of Sm5Y5Th2, as listed in Alexandria.

Cell and atoms, written as POSCAR:
```
Sm5Y5Th2
1.0
7.6295 -2.5441 0.0000
7.6295 2.5441 0.0000
-5.1214 0.0000 10.1910
Sm Y Th
5 5 2
Cartesian
0.0000 0.0000 0.0000
-2.5774 0.0000 7.6185
2.5172 0.0000 2.6032
7.6204 0.0000 7.5878
12.7149 0.0000 2.5726
-0.0347 0.0000 10.1720
2.5103 0.0000 7.5914
5.0688 0.0000 5.0955
7.6272 0.0000 2.5996
10.1723 0.0000 0.0190
0.0241 0.0000 5.0899
10.1134 0.0000 5.1011
```

Density of states at the Fermi level   16.84 states/eV/cell
Formation energy from the elements   0.03 eV per atom
Total magnetization   0.00 μB per formula unit
Raw total energy   -70.39 eV for the cell shown

6.
First-principles (PBE-GGA) data for a relaxed structure of TePd5Se8, as listed in Alexandria.

Cell and atoms, written as POSCAR:
```
TePd5Se8
1.0
9.8724 -1.8853 0.0000
9.8724 1.8853 0.0000
-2.1720 0.0000 8.4317
Te Pd Se
1 5 8
Cartesian
0.0000 0.0000 0.0000
1.8474 0.0000 4.6258
1.9240 0.0000 7.6439
8.5143 0.0000 4.9638
15.1839 0.0000 2.0582
15.2007 0.0000 5.0565
-0.3607 0.0000 6.3997
4.2498 0.0000 3.4825
6.1998 0.0000 0.6172
6.4434 0.0000 6.5011
10.5415 0.0000 3.4654
13.0791 0.0000 0.6645
12.8469 0.0000 6.0421
17.3048 0.0000 3.6344
```

Density of states at the Fermi level   6.66 states/eV/cell
Total magnetization   0.00 μB per formula unit
Raw total energy   -59.86 eV for the cell shown

7.
First-principles (PBE-GGA) data for a relaxed structure of NdDy2In3Se6, as listed in Alexandria.

Cell and atoms, written as POSCAR:
```
NdDy2In3Se6
1.0
3.6348 -6.2934 0.0000
3.6348 6.2934 0.0000
-2.4223 0.0000 7.7368
Nd Dy In Se
1 2 3 6
Cartesian
0.0000 0.0000 0.0000
3.6348 2.0982 0.0000
3.6348 -2.0982 0.0000
2.4236 4.2124 3.8684
2.4236 0.0000 3.8684
2.4236 -4.2124 3.8684
1.2429 2.1517 1.6344
0.0624 0.0000 6.1197
1.2429 -2.1517 1.6344
3.6044 2.1517 6.1023
4.7848 0.0000 1.6171
3.6044 -2.1517 6.1023
```

Total magnetization   0.00 μB per formula unit
Raw total energy   -58.65 eV for the cell shown

8.
First-principles (PBE-GGA) data for a relaxed structure of NdSm2RuO8, as listed in Alexandria.

Cell and atoms, written as POSCAR:
```
NdSm2RuO8
1.0
5.1570 0.0000 0.0000
0.0000 6.9602 0.0000
-0.0178 0.0000 5.1636
Nd Sm Ru O
1 2 1 8
Cartesian
0.0000 0.0000 0.0000
2.5696 1.7479 2.5818
2.5696 5.2124 2.5818
0.0000 3.4801 0.0000
0.9385 2.0626 0.9337
0.9385 4.8976 0.9337
1.3141 3.4801 3.8269
1.5921 0.0000 3.5447
3.5471 0.0000 1.6189
3.8251 3.4801 1.3367
4.2007 2.0626 4.2299
4.2007 4.8976 4.2299
```

Density of states at the Fermi level   3.44 states/eV/cell
Total magnetization   1.04 μB per formula unit
Raw total energy   -90.68 eV for the cell shown

What did the seventh record say?
First-principles (PBE-GGA) data for a relaxed structure of NdDy2In3Se6, as listed in Alexandria.

Cell and atoms, written as POSCAR:
```
NdDy2In3Se6
1.0
3.6348 -6.2934 0.0000
3.6348 6.2934 0.0000
-2.4223 0.0000 7.7368
Nd Dy In Se
1 2 3 6
Cartesian
0.0000 0.0000 0.0000
3.6348 2.0982 0.0000
3.6348 -2.0982 0.0000
2.4236 4.2124 3.8684
2.4236 0.0000 3.8684
2.4236 -4.2124 3.8684
1.2429 2.1517 1.6344
0.0624 0.0000 6.1197
1.2429 -2.1517 1.6344
3.6044 2.1517 6.1023
4.7848 0.0000 1.6171
3.6044 -2.1517 6.1023
```

Total magnetization   0.00 μB per formula unit
Raw total energy   -58.65 eV for the cell shown